Below is a relaxed LiLaGe2Bi crystal, with properties calculated at the PBE-GGA level.

```
5
Lattice="-4.825 -1.416 1.466 1.655 -5.230 0.396 1.292 0.788 5.014" Properties=species:S:1:pos:R:3 pbc="T T T"
Ge 0.646 0.394 2.507
Ge -2.412 -0.708 0.733
Li 0.000 0.000 0.000
Bi 0.827 -2.615 0.198
La -0.939 -2.929 3.438
```

## Properties
D(E_F)   4.1 states/eV/f.u.
Symmetry   P4/mmm (123)
ΔE_f   -38 meV per atom